[1]
## LiSe3S (PBEsol)

Data for LiSe3S after structural relaxation.

## Properties
Formation energy (no corrections) = 109 meV/atom
Electronic total energy = -17.356 eV for the cell shown

```
data_LiSe3S
_cell_length_a 4.840
_cell_length_b 4.840
_cell_length_c 4.840
_cell_angle_alpha 90.00
_cell_angle_beta 90.00
_cell_angle_gamma 90.00
_symmetry_space_group_name_H-M 'P m -3 m'
_symmetry_Int_Tables_number 221
_symmetry_space_group_name_Hall '-P 4 2 3'
loop_
_atom_site_label
_atom_site_fract_x
_atom_site_fract_y
_atom_site_fract_z
_atom_site_occupancy
Li1 0.000 0.000 0.000 1
Se1 0.000 0.500 0.500 1
S1 0.500 0.500 0.500 1
```



[2]
## SrSb2Pb (PBEsol)

Data for SrSb2Pb after structural relaxation.

## Properties
Formation energy (no corrections) = -419 meV/atom
Electronic total energy = -33.263 eV for the cell shown

```
data_SrSb2Pb
_cell_length_a 4.643
_cell_length_b 4.643
_cell_length_c 10.825
_cell_angle_alpha 90.00
_cell_angle_beta 90.00
_cell_angle_gamma 90.00
_symmetry_space_group_name_H-M 'I -4 m 2'
_symmetry_Int_Tables_number 119
_symmetry_space_group_name_Hall 'I -4 -2'
loop_
_atom_site_label
_atom_site_fract_x
_atom_site_fract_y
_atom_site_fract_z
_atom_site_occupancy
Sr1 0.000 0.000 0.000 1
Sb1 0.000 0.000 0.500 1
Sb2 0.000 0.500 0.750 1
Pb1 0.000 0.500 0.250 1
```



[3]
## AlCrRh2 (PBEsol)

Data for AlCrRh2 after structural relaxation.

## Properties
Electronic total energy = -32.546 eV for the cell shown
ΔE_f = -484 meV per atom

```
data_AlCrRh2
_cell_length_a 4.231
_cell_length_b 4.231
_cell_length_c 2.947
_cell_angle_alpha 90.00
_cell_angle_beta 90.00
_cell_angle_gamma 90.00
_symmetry_space_group_name_H-M 'P 4/m m m'
_symmetry_Int_Tables_number 123
_symmetry_space_group_name_Hall '-P 4 2'
loop_
_atom_site_label
_atom_site_fract_x
_atom_site_fract_y
_atom_site_fract_z
_atom_site_occupancy
Al1 0.000 0.000 0.000 1
Cr1 0.500 0.500 0.000 1
Rh1 0.000 0.500 0.500 1
```



[4]
## Li3Mo2P3O12 (PBEsol)

Data for Li3Mo2P3O12 after structural relaxation.

## Properties
Formation energy (no corrections) = -2075 meV/atom
Electronic total energy = -605.205 eV for the cell shown

```
data_Li3Mo2P3O12
_cell_length_a 8.509
_cell_length_b 8.871
_cell_length_c 14.797
_cell_angle_alpha 90.00
_cell_angle_beta 125.03
_cell_angle_gamma 90.00
_symmetry_space_group_name_H-M 'P 1 21/c 1'
_symmetry_Int_Tables_number 14
loop_
_symmetry_equiv_pos_as_xyz
'x,y,z'
'-x,-y,-z'
'-x,y+1/2,-z+1/2'
'x,-y+1/2,z+1/2'
loop_
_atom_site_label
_atom_site_fract_x
_atom_site_fract_y
_atom_site_fract_z
_atom_site_occupancy
Li1 0.004 0.223 0.179 1
Li2 0.282 0.015 0.850 1
Li3 0.394 0.091 0.313 1
Mo1 0.133 0.039 0.389 1
Mo2 0.354 0.030 0.108 1
P1 0.034 0.608 0.648 1
P2 0.265 0.117 0.653 1
P3 0.445 0.750 0.488 1
O1 0.016 0.739 0.192 1
O2 0.123 0.010 0.245 1
O3 0.135 0.072 0.694 1
O4 0.155 0.613 0.602 1
O5 0.162 0.089 0.531 1
O6 0.174 0.049 0.937 1
O7 0.244 0.681 0.936 1
O8 0.293 0.211 0.177 1
O9 0.400 0.129 0.450 1
O10 0.447 0.667 0.397 1
O11 0.454 0.025 0.721 1
O12 0.487 0.639 0.581 1
```



[5]
## Rb3HfIn (PBEsol)

Data for Rb3HfIn after structural relaxation.

## Properties
Electronic total energy = -10.041 eV for the cell shown
ΔE_f = 1304 meV per atom

```
data_Rb3HfIn
_cell_length_a 6.721
_cell_length_b 6.721
_cell_length_c 6.721
_cell_angle_alpha 90.00
_cell_angle_beta 90.00
_cell_angle_gamma 90.00
_symmetry_space_group_name_H-M 'P m -3 m'
_symmetry_Int_Tables_number 221
_symmetry_space_group_name_Hall '-P 4 2 3'
loop_
_atom_site_label
_atom_site_fract_x
_atom_site_fract_y
_atom_site_fract_z
_atom_site_occupancy
Rb1 0.000 0.000 0.500 1
Hf1 0.500 0.500 0.500 1
In1 0.000 0.000 0.000 1
```



[6]
## BaRh2Se (PBEsol)

Data for BaRh2Se after structural relaxation.

## Properties
Formation energy (no corrections) = 179 meV/atom
Electronic total energy = -43.119 eV for the cell shown

```
data_BaRh2Se
_cell_length_a 4.040
_cell_length_b 4.040
_cell_length_c 9.632
_cell_angle_alpha 90.00
_cell_angle_beta 90.00
_cell_angle_gamma 90.00
_symmetry_space_group_name_H-M 'I -4 m 2'
_symmetry_Int_Tables_number 119
_symmetry_space_group_name_Hall 'I -4 -2'
loop_
_atom_site_label
_atom_site_fract_x
_atom_site_fract_y
_atom_site_fract_z
_atom_site_occupancy
Ba1 0.000 0.000 0.000 1
Rh1 0.000 0.000 0.500 1
Rh2 0.000 0.500 0.250 1
Se1 0.000 0.500 0.750 1
```



[7]
## Nd3Sn5Pd5 (PBEsol)

Data for Nd3Sn5Pd5 after structural relaxation.

## Properties
Electronic total energy = -309.748 eV for the cell shown
ΔE_f = -834 meV per atom

```
data_Nd3Sn5Pd5
_cell_length_a 17.300
_cell_length_b 4.523
_cell_length_c 14.216
_cell_angle_alpha 90.00
_cell_angle_beta 99.48
_cell_angle_gamma 90.00
_symmetry_space_group_name_H-M 'C 1 2/m 1'
_symmetry_Int_Tables_number 12
loop_
_symmetry_equiv_pos_as_xyz
'x,y,z'
'-x,-y,-z'
'-x,y,-z'
'x,-y,z'
'x+1/2,y+1/2,z'
'-x+1/2,-y+1/2,-z'
'-x+1/2,y+1/2,-z'
'x+1/2,-y+1/2,z'
loop_
_atom_site_label
_atom_site_fract_x
_atom_site_fract_y
_atom_site_fract_z
_atom_site_occupancy
Nd1 0.101 0.000 0.214 1
Nd2 0.136 0.000 0.586 1
Nd3 0.137 0.000 0.871 1
Sn1 0.000 0.000 0.000 1
Sn2 0.000 0.500 0.500 1
Sn3 0.031 0.500 0.720 1
Sn4 0.148 0.500 0.050 1
Sn5 0.152 0.500 0.403 1
Sn6 0.203 0.500 0.739 1
Pd1 0.009 0.500 0.903 1
Pd2 0.036 0.000 0.387 1
Pd3 0.216 0.500 0.237 1
Pd4 0.236 0.000 0.429 1
Pd5 0.239 0.000 0.068 1
```



[8]
## BaAsAu2 (PBEsol)

Data for BaAsAu2 after structural relaxation.

## Properties
Electronic total energy = -15.712 eV for the cell shown
ΔE_f = -152 meV per atom

```
data_BaAsAu2
_cell_length_a 3.711
_cell_length_b 3.711
_cell_length_c 6.870
_cell_angle_alpha 90.00
_cell_angle_beta 90.00
_cell_angle_gamma 90.00
_symmetry_space_group_name_H-M 'P 4/m m m'
_symmetry_Int_Tables_number 123
_symmetry_space_group_name_Hall '-P 4 2'
loop_
_atom_site_label
_atom_site_fract_x
_atom_site_fract_y
_atom_site_fract_z
_atom_site_occupancy
Ba1 0.000 0.000 0.000 1
As1 0.000 0.000 0.500 1
Au1 0.500 0.500 0.302 1
```



[9]
## K2EuCuCl6 (PBEsol)

Data for K2EuCuCl6 after structural relaxation.

## Properties
Formation energy (no corrections) = -1652 meV/atom
Electronic total energy = -182.908 eV for the cell shown

```
data_K2EuCuCl6
_cell_length_a 10.209
_cell_length_b 10.209
_cell_length_c 10.209
_cell_angle_alpha 90.00
_cell_angle_beta 90.00
_cell_angle_gamma 90.00
_symmetry_space_group_name_H-M 'F m -3 m'
_symmetry_Int_Tables_number 225
_symmetry_space_group_name_Hall '-F 4 2 3'
loop_
_atom_site_label
_atom_site_fract_x
_atom_site_fract_y
_atom_site_fract_z
_atom_site_occupancy
K1 0.250 0.250 0.250 1
Eu1 0.000 0.000 0.000 1
Cu1 0.000 0.000 0.500 1
Cl1 0.000 0.000 0.263 1
```



[10]
## HgIrAu2 (PBEsol)

Data for HgIrAu2 after structural relaxation.

## Properties
Electronic total energy = -51.239 eV for the cell shown
ΔE_f = 290 meV per atom

```
data_HgIrAu2
_cell_length_a 2.8663
_cell_length_b 2.8663
_cell_length_c 28.5334
_cell_angle_alpha 90.00
_cell_angle_beta 90.00
_cell_angle_gamma 120.00
_symmetry_space_group_name_H-M 'R -3 m'
_symmetry_Int_Tables_number 166
_symmetry_space_group_name_Hall '-R 3 2"'
loop_
_atom_site_label
_atom_site_fract_x
_atom_site_fract_y
_atom_site_fract_z
_atom_site_occupancy
Hg1 0.0000 0.0000 0.0000 1
Ir1 0.0000 0.0000 0.5000 1
Au1 0.0000 0.0000 0.2458 1
```



[11]
## LaAl2Re (PBEsol)

Data for LaAl2Re after structural relaxation.

## Properties
Electronic total energy = -100.677 eV for the cell shown
ΔE_f = 423 meV per atom

```
data_LaAl2Re
_cell_length_a 4.780
_cell_length_b 4.780
_cell_length_c 17.255
_cell_angle_alpha 90.00
_cell_angle_beta 90.00
_cell_angle_gamma 90.00
_symmetry_space_group_name_H-M 'I -4 2 d'
_symmetry_Int_Tables_number 122
_symmetry_space_group_name_Hall 'I -4 2bw'
loop_
_atom_site_label
_atom_site_fract_x
_atom_site_fract_y
_atom_site_fract_z
_atom_site_occupancy
La1 0.000 0.000 0.000 1
Al1 0.048 0.250 0.625 1
Re1 0.000 0.000 0.500 1
```



[12]
## BaMn2Zn (PBEsol)

Data for BaMn2Zn after structural relaxation.

## Properties
Electronic total energy = -63.420 eV for the cell shown
ΔE_f = 528 meV per atom

```
data_BaMn2Zn
_cell_length_a 4.3657
_cell_length_b 4.3657
_cell_length_c 17.4105
_cell_angle_alpha 90.00
_cell_angle_beta 90.00
_cell_angle_gamma 120.00
_symmetry_space_group_name_H-M 'R 3 m'
_symmetry_Int_Tables_number 160
_symmetry_space_group_name_Hall 'R 3 -2"'
loop_
_atom_site_label
_atom_site_fract_x
_atom_site_fract_y
_atom_site_fract_z
_atom_site_occupancy
Ba1 0.0000 0.0000 0.0000 1
Mn1 0.0000 0.0000 0.1928 1
Mn2 0.0000 0.0000 0.4810 1
Zn1 0.0000 0.0000 0.8102 1
```